(1)
Entry from Alexandria: a relaxed BiAu4 crystal (PBE).

For the energy above the most stable polymorph in this dataset, the calculation gives 0.0 meV per atom. The value obtained for the formation energy from the elements is 0.03 eV/atom. The spin magnetization comes out at 0.00 Bohr magnetons per cell. As for the total DFT energy (no corrections): -3.36 eV per atom.

The structure belongs to space group Imma (No. 74); the cell edges are 4.8408, 5.9367 and 14.3951 Å and the angles 90.00°, 90.00° and 90.00°. Symmetry generates all atoms from Bi at (0.0000, 0.2500, 0.0859), Au at (0.0000, 0.0005, 0.3043), Au at (0.0000, 0.0000, 0.5000) and Au at (0.0000, 0.2500, 0.8702).



(2)
Entry from Alexandria: a relaxed Dy6Ho3Tl crystal (PBE).

For the energy above the most stable polymorph in this dataset, the calculation gives 0.0 meV per atom. The value obtained for the formation energy from the elements is 0.01 eV/atom. The spin magnetization comes out at 0.00 Bohr magnetons per cell. As for the total DFT energy (no corrections): -4.36 eV per atom.

The structure belongs to space group P2_1/m (No. 11); the cell edges are 12.6718, 3.4894 and 14.1880 Å and the angles 90.00°, 100.44° and 90.00°. Symmetry generates all atoms from Dy at (0.0113, 0.2500, 0.3092), Dy at (0.1578, 0.2500, 0.8826), Dy at (0.2529, 0.7500, 0.3068), Dy at (0.2719, 0.7500, 0.7141), Dy at (0.3080, 0.7500, 0.0738), Dy at (0.3852, 0.2500, 0.5325), Ho at (0.0778, 0.2500, 0.0964), Ho at (0.1291, 0.7500, 0.5020), Ho at (0.4260, 0.2500, 0.8973) and Tl at (0.4679, 0.2500, 0.2766).



(3)
Entry from Alexandria: a relaxed YReIO2 crystal (PBE).

For the energy above the most stable polymorph in this dataset, the calculation gives 0.0 meV per atom. The spin magnetization comes out at 0.00 Bohr magnetons per cell. As for the total DFT energy (no corrections): -6.63 eV per atom.

The structure belongs to space group P4/mmm (No. 123); the cell edges are 4.0042, 4.0042 and 5.8578 Å and the angles 90.00°, 90.00° and 90.00°. Symmetry generates all atoms from Y at (0.0000, 0.0000, 0.0000), Re at (0.5000, 0.5000, 0.5000), I at (0.5000, 0.5000, 0.0000) and O at (0.0000, 0.5000, 0.5000).



(4)
Entry from Alexandria: a relaxed La3Ho2Pb3 crystal (PBE).

The value obtained for the formation energy from the elements is -0.54 eV/atom. The spin magnetization comes out at 0.01 Bohr magnetons per cell. As for the total DFT energy (no corrections): -4.93 eV per atom.

The structure belongs to space group P6_3/mcm (No. 193); the cell edges are 9.4089, 9.4089 and 6.7961 Å and the angles 90.00°, 90.00° and 120.00°. Symmetry generates all atoms from La at (0.0000, 0.2434, 0.2500), Ho at (0.3333, 0.6667, 0.0000) and Pb at (0.0000, 0.3981, 0.7500).



Please write out number 1 again, unchanged.
Entry from Alexandria: a relaxed BiAu4 crystal (PBE).

For the energy above the most stable polymorph in this dataset, the calculation gives 0.0 meV per atom. The value obtained for the formation energy from the elements is 0.03 eV/atom. The spin magnetization comes out at 0.00 Bohr magnetons per cell. As for the total DFT energy (no corrections): -3.36 eV per atom.

The structure belongs to space group Imma (No. 74); the cell edges are 4.8408, 5.9367 and 14.3951 Å and the angles 90.00°, 90.00° and 90.00°. Symmetry generates all atoms from Bi at (0.0000, 0.2500, 0.0859), Au at (0.0000, 0.0005, 0.3043), Au at (0.0000, 0.0000, 0.5000) and Au at (0.0000, 0.2500, 0.8702).



Q: The highest spin magnetization belongs to which entry?
A: La3Ho2Pb3



Q: total DFT energy (no corrections) of number 4 (La3Ho2Pb3)?
A: -4.93 eV per atom